# 1
LiLa4Tl5 | PBE | optimized geometry

Cell lengths 3.7129, 3.7129, 21.1885 Å; angles 90.00, 90.00, 90.00 degrees
Space group P4/mmm (No. 123)
Unique sites:
Li  0.0000  0.0000  0.0000 (multiplicity 1)
La  0.0000  0.0000  0.1807 (multiplicity 2)
La  0.0000  0.0000  0.3934 (multiplicity 2)
Tl  0.5000  0.5000  0.0761 (multiplicity 2)
Tl  0.5000  0.5000  0.2871 (multiplicity 2)
Tl  0.5000  0.5000  0.5000 (multiplicity 1)

DFT formation energy = -0.40 eV per atom

# 2
CaTb12Co6 | PBE | optimized geometry

Cell lengths 9.8608, 9.8608, 9.8608 Å; angles 90.00, 90.00, 90.00 degrees
Space group Im-3 (No. 204)
Unique sites:
Ca  0.0000  0.0000  0.0000 (multiplicity 2)
Tb  0.0000  0.3121  0.1964 (multiplicity 24)
Co  0.0000  0.1121  0.5000 (multiplicity 12)

DFT formation energy = -0.13 eV per atom

# 3
Hg2BTe | PBE | optimized geometry

Cell lengths 7.2247, 7.2247, 7.2247 Å; angles 90.00, 90.00, 90.00 degrees
Space group Fm-3m (No. 225)
Unique sites:
Hg  0.2500  0.2500  0.2500 (multiplicity 8)
B  0.0000  0.0000  0.0000 (multiplicity 4)
Te  0.0000  0.0000  0.5000 (multiplicity 4)

# 4
Ce3PaCo8 | PBE | optimized geometry

Cell lengths 4.9835, 4.9835, 24.3851 Å; angles 90.00, 90.00, 120.00 degrees
Space group R3m (No. 160, hexagonal axes)
Unique sites:
Ce  0.0000  0.0000  0.0000 (multiplicity 3)
Ce  0.0000  0.0000  0.1244 (multiplicity 3)
Ce  0.0000  0.0000  0.4945 (multiplicity 3)
Pa  0.0000  0.0000  0.6208 (multiplicity 3)
Co  0.0000  0.0000  0.3098 (multiplicity 3)
Co  0.0000  0.0000  0.8099 (multiplicity 3)
Co  0.0027  0.5013  0.5612 (multiplicity 9)
Co  0.1681  0.3363  0.3920 (multiplicity 9)

DFT formation energy = -0.28 eV per atom

# 5
YInAg2I6 | PBE | optimized geometry

Cell lengths 8.0124, 8.0124, 23.3851 Å; angles 90.00, 90.00, 120.00 degrees
Space group R-3 (No. 148, hexagonal axes)
Unique sites:
Y  0.0000  0.0000  0.0000 (multiplicity 3)
In  0.0000  0.0000  0.5000 (multiplicity 3)
Ag  0.0000  0.0000  0.2677 (multiplicity 6)
I  0.0011  0.3088  0.9233 (multiplicity 18)

# 6
NpBe2AsO8 | PBE | optimized geometry

Cell lengths 5.0597, 5.0597, 5.9899 Å; angles 90.00, 90.00, 120.00 degrees
Space group P-3 (No. 147)
Unique sites:
Np  0.0000  0.0000  0.0000 (multiplicity 1)
Be  0.3333  0.6667  0.7671 (multiplicity 2)
As  0.0000  0.0000  0.5000 (multiplicity 1)
O  0.1425  0.3145  0.7024 (multiplicity 6)
O  0.3333  0.6667  0.0329 (multiplicity 2)

# 7
Pm8ErTm6 | PBE | optimized geometry

Cell lengths 9.0366, 9.0366, 20.8206 Å; angles 90.00, 90.00, 120.00 degrees
Space group R-3 (No. 148, hexagonal axes)
Unique sites:
Pm  0.0000  0.0000  0.0777 (multiplicity 6)
Pm  0.0812  0.5224  0.3065 (multiplicity 18)
Er  0.0000  0.0000  0.5000 (multiplicity 3)
Tm  0.0465  0.8019  0.2053 (multiplicity 18)

DFT formation energy = 0.13 eV per atom

# 8
InSe2I | PBE | optimized geometry

Cell lengths 4.2140, 4.2140, 25.1816 Å; angles 90.00, 90.00, 120.00 degrees
Space group R-3m (No. 166, hexagonal axes)
Unique sites:
In  0.0000  0.0000  0.0000 (multiplicity 3)
Se  0.0000  0.0000  0.3898 (multiplicity 6)
I  0.0000  0.0000  0.5000 (multiplicity 3)

Number 1: N(E_F) 7.5 states/eV/cell, energy -3.741 eV/atom. Number 2: N(E_F) 31.5 states/eV/cell, energy -5.402 eV/atom. Number 3: N(E_F) 13.1 states/eV/cell, energy -1.463 eV/atom. Number 4: N(E_F) 50.9 states/eV/cell, energy -7.294 eV/atom. Number 5: N(E_F) 0.0 states/eV/cell, energy -3.135 eV/atom. Number 6: N(E_F) 6.0 states/eV/cell, energy -7.047 eV/atom. Number 7: N(E_F) 70.0 states/eV/cell, energy -4.497 eV/atom. Number 8: N(E_F) 2.0 states/eV/cell, energy -3.094 eV/atom.